The following is a PBE calculation of a geometry-optimized Pu2MnCl structure, from Alexandria via LeMat-Bulk.

ΔE_f (raw), meV per atom: -474.4
Energy, eV/f.u.: -41.6

Cell lengths 3.2204, 3.2204, 8.0197 Å; angles 90.00, 90.00, 90.00 degrees
Closest atoms and distances in Å follow each position.
Positions (direct):
Pu 0.0000 0.0000 0.2219  4 Mn 2.89, 4 Cl 3.19, 4 Pu 3.22
Pu 0.0000 0.0000 0.7781  4 Mn 2.89, 4 Cl 3.19, 4 Pu 3.22
Mn 0.5000 0.5000 0.0000  8 Pu 2.89, 4 Mn 3.22
Cl 0.5000 0.5000 0.5000  8 Pu 3.19, 4 Cl 3.22